Entry 1:
18
Lattice="2.472 1.427 11.983 -2.472 1.427 11.983 0.000 -2.854 11.983" Properties=species:S:1:pos:R:3 comment="Y2Co7 PBE relaxed" total_energy_ev_per_atom=-7.030 formation_enthalpy_0k_ev_per_atom=-0.066 rho_g_cm3=7.73 pbc="T T T"
Y 0.000 0.000 1.848
Y 0.000 0.000 5.329
Y 0.000 0.000 30.619
Y 0.000 0.000 34.100
Co -1.236 -0.713 11.983
Co -1.234 -0.713 15.909
Co 0.000 0.000 10.019
Co 0.000 0.000 13.966
Co 0.000 -1.425 20.039
Co -1.234 0.713 20.039
Co -1.236 0.713 23.965
Co 0.000 1.427 11.983
Co 0.000 0.000 17.974
Co 1.234 -0.713 15.909
Co 0.000 1.425 15.909
Co 0.000 0.000 21.982
Co 0.000 0.000 25.929
Co 1.234 0.713 20.039


Entry 2:
6
Lattice="5.067 0.000 0.000 0.000 5.067 0.000 0.000 0.000 4.306" Properties=species:S:1:pos:R:3 comment="YCo2 PBE relaxed" total_energy_ev_per_atom=-5.457 formation_enthalpy_0k_ev_per_atom=1.436 rho_g_cm3=6.21 pbc="T T T"
Y 0.000 0.000 0.000
Y 2.534 2.534 2.153
Co 0.840 0.840 2.153
Co 1.694 3.374 0.000
Co 3.374 1.694 0.000
Co 4.227 4.227 2.153


Entry 3:
24
Lattice="4.972 0.000 0.000 -2.486 4.306 0.000 0.000 0.000 16.190" Properties=species:S:1:pos:R:3 comment="YCo3 PBE relaxed" total_energy_ev_per_atom=-7.049 formation_enthalpy_0k_ev_per_atom=-0.103 rho_g_cm3=7.64 pbc="T T T"
Y 0.000 2.870 0.650
Y 0.000 2.870 4.047
Y 0.000 2.870 7.445
Y 2.486 1.435 8.744
Y 2.486 1.435 12.142
Y 2.486 1.435 15.540
Co 0.000 0.000 0.000
Co 0.000 0.000 4.047
Co 0.000 0.000 8.095
Co 0.000 0.000 12.142
Co 0.000 1.432 10.175
Co 0.000 1.432 14.109
Co -1.245 3.589 10.175
Co -1.245 3.589 14.109
Co 1.241 0.716 2.080
Co 1.241 0.716 6.014
Co 0.000 2.870 12.142
Co 2.486 1.435 4.047
Co 1.245 3.589 10.175
Co 1.245 3.589 14.109
Co 3.731 0.716 2.080
Co 3.731 0.716 6.014
Co 2.486 2.873 2.080
Co 2.486 2.873 6.014


Entry 4:
4
Lattice="2.027 -5.152 0.000 2.027 5.152 0.000 0.000 0.000 3.874" Properties=species:S:1:pos:R:3 comment="YCo PBE relaxed" total_energy_ev_per_atom=-6.979 formation_enthalpy_0k_ev_per_atom=-0.194 rho_g_cm3=6.07 pbc="T T T"
Y 2.027 3.666 2.905
Y 2.027 -3.666 0.968
Co 2.027 0.590 2.905
Co 2.027 -0.590 0.968


Entry 5:
4
Lattice="0.000 3.228 3.228 3.228 0.000 3.228 3.228 3.228 0.000" Properties=species:S:1:pos:R:3 comment="YZn2Co PBE relaxed" total_energy_ev_per_atom=-4.087 formation_enthalpy_0k_ev_per_atom=-0.062 rho_g_cm3=6.88 pbc="T T T"
Y 0.000 0.000 0.000
Zn 1.614 1.614 1.614
Zn 3.228 3.228 3.228
Co 4.842 4.842 4.842


Entry 6:
4
Lattice="0.000 3.173 3.173 3.173 0.000 3.173 3.173 3.173 0.000" Properties=species:S:1:pos:R:3 comment="YZnCo2 PBE relaxed" total_energy_ev_per_atom=-5.357 formation_enthalpy_0k_ev_per_atom=0.128 rho_g_cm3=7.08 pbc="T T T"
Y 0.000 0.000 0.000
Zn 4.759 4.759 4.759
Co 1.586 1.586 1.586
Co 3.173 3.173 3.173


Entry 7:
4
Lattice="0.000 3.372 3.372 3.372 0.000 3.372 3.372 3.372 0.000" Properties=species:S:1:pos:R:3 comment="Y2ZnCo PBE relaxed" total_energy_ev_per_atom=-5.234 formation_enthalpy_0k_ev_per_atom=0.092 rho_g_cm3=6.54 pbc="T T T"
Y 0.000 0.000 0.000
Y 1.686 1.686 1.686
Zn 3.372 3.372 3.372
Co 5.058 5.058 5.058


Entry 8:
8
Lattice="4.451 0.000 0.000 0.000 4.190 0.000 0.000 0.000 5.150" Properties=species:S:1:pos:R:3 comment="ZnCo PBE relaxed" total_energy_ev_per_atom=-4.089 formation_enthalpy_0k_ev_per_atom=0.096 rho_g_cm3=8.60 pbc="T T T"
Zn 0.386 1.047 0.642
Zn 1.840 3.142 3.217
Zn 2.612 1.047 1.932
Zn 4.065 3.142 4.507
Co 0.319 1.047 3.216
Co 1.906 3.142 0.641
Co 2.545 1.047 4.509
Co 4.132 3.142 1.934


Entry 9:
36
Lattice="4.286 0.000 0.000 0.000 4.946 0.000 -0.018 0.000 31.224" Properties=species:S:1:pos:R:3 comment="ZnCo17 PBE relaxed" de_polymorph_ev_per_fu=0.00 total_energy_ev_per_atom=-6.641 formation_enthalpy_0k_ev_per_atom=0.141 rho_g_cm3=5.36 pbc="T T T"
Zn 0.723 1.236 8.458
Zn 3.545 3.709 22.766
Co 0.000 0.000 0.000
Co -0.002 0.007 6.095
Co -0.002 2.466 6.095
Co 0.000 2.473 0.000
Co 4.270 2.480 25.129
Co 4.270 4.939 25.129
Co 0.682 3.709 8.053
Co 0.691 1.236 27.143
Co 0.712 3.709 2.030
Co 0.714 1.236 2.025
Co 0.710 3.709 27.173
Co 1.410 0.013 23.162
Co 1.410 2.460 23.162
Co 1.412 0.002 29.194
Co 1.412 2.471 29.194
Co 1.429 0.002 4.047
Co 1.429 2.471 4.047
Co 2.134 3.709 6.086
Co 2.123 3.709 25.144
Co 2.142 1.236 0.009
Co 2.126 3.709 31.215
Co 2.144 1.236 6.079
Co 2.134 1.236 25.137
Co 2.839 4.944 27.177
Co 2.839 2.475 27.177
Co 2.856 4.944 2.030
Co 2.856 2.475 2.030
Co 2.858 2.486 8.062
Co 2.858 4.933 8.062
Co 3.558 1.236 4.051
Co 3.554 3.709 29.199
Co 3.556 1.236 29.194
Co 3.577 3.709 4.081
Co 3.585 1.236 23.170


Entry 10:
32
Lattice="3.504 0.000 0.000 0.000 3.504 0.000 0.000 0.000 41.295" Properties=species:S:1:pos:R:3 comment="ZnCo15 PBE relaxed" de_polymorph_ev_per_fu=0.52 total_energy_ev_per_atom=-6.614 formation_enthalpy_0k_ev_per_atom=0.127 rho_g_cm3=6.22 pbc="T T T"
Zn 0.876 0.000 7.281
Zn 2.628 0.000 34.015
Co 0.876 0.000 10.981
Co 0.876 0.000 14.502
Co 0.876 0.000 18.013
Co 0.876 0.000 21.523
Co 0.876 0.000 25.033
Co 0.876 0.000 28.535
Co 0.876 0.000 32.044
Co 0.876 1.752 9.251
Co 0.876 1.752 12.759
Co 0.876 1.752 16.262
Co 0.876 1.752 19.771
Co 0.876 1.752 23.277
Co 0.876 1.752 26.783
Co 0.876 1.752 30.275
Co 0.876 1.752 33.688
Co 2.628 0.000 9.251
Co 2.628 0.000 12.760
Co 2.628 0.000 16.262
Co 2.628 0.000 19.772
Co 2.628 0.000 23.282
Co 2.628 0.000 26.793
Co 2.628 0.000 30.314
Co 2.628 1.752 7.607
Co 2.628 1.752 11.020
Co 2.628 1.752 14.512
Co 2.628 1.752 18.018
Co 2.628 1.752 21.524
Co 2.628 1.752 25.033
Co 2.628 1.752 28.536
Co 2.628 1.752 32.044


Entry 11:
4
Lattice="-1.780 1.780 3.598 1.780 -1.780 3.598 1.780 1.780 -3.598" Properties=species:S:1:pos:R:3 comment="ZnCo3 PBE relaxed" total_energy_ev_per_atom=-5.491 formation_enthalpy_0k_ev_per_atom=0.155 rho_g_cm3=8.82 pbc="T T T"
Zn 0.000 0.000 0.000
Co 1.780 0.000 1.799
Co 0.000 0.000 3.598
Co 0.000 1.780 1.799


Entry 12:
16
Lattice="4.154 0.000 0.000 0.000 5.128 0.000 0.000 0.000 9.062" Properties=species:S:1:pos:R:3 comment="ZnCo PBE relaxed" total_energy_ev_per_atom=-4.162 formation_enthalpy_0k_ev_per_atom=0.023 rho_g_cm3=8.56 pbc="T T T"
Zn 1.039 5.127 0.764
Zn 1.039 1.282 3.053
Zn 1.039 1.282 7.364
Zn 1.039 2.565 0.764
Zn 3.116 0.001 8.298
Zn 3.116 2.563 8.298
Zn 3.116 3.846 1.698
Zn 3.116 3.846 6.010
Co 1.039 2.591 5.223
Co 1.039 3.846 3.171
Co 1.039 3.846 7.456
Co 1.039 5.100 5.223
Co 3.116 0.027 3.839
Co 3.116 1.282 1.606
Co 3.116 1.282 5.891
Co 3.116 2.537 3.839


Question: Which formula does entry 11 have?
Answer: ZnCo3


Question: Number 10 is which compound?
Answer: ZnCo15